(1)
VASP calculation (GGA-PBEsol) on a geometry-optimized ZrZnPt structure.

Summary:
E ... -0.480 Ry/atom
DFT formation energy ... -656 meV per atom

The structure in CIF format:
```
data_ZrZnPt
_cell_length_a 2.899
_cell_length_b 3.976
_cell_length_c 8.520
_cell_angle_alpha 90.00
_cell_angle_beta 90.00
_cell_angle_gamma 90.00
_space_group_name_H-M_alt 'I m m 2'
_space_group_IT_number 44
_space_group_name_Hall 'I 2 -2'
loop_
_atom_site_label
_atom_site_type_symbol
_atom_site_fract_x
_atom_site_fract_y
_atom_site_fract_z
Zr1 Zr 0.000 0.000 0.000
Zn1 Zn 0.000 0.000 0.674
Pt1 Pt 0.000 0.000 0.327
```

---

(2)
VASP calculation (GGA-PBEsol) on a geometry-optimized CaLaFeSn2 structure.

Summary:
E ... -0.264 Ry/atom
DFT formation energy ... 1401 meV per atom

The structure in CIF format:
```
data_CaLaFeSn2
_cell_length_a 5.790
_cell_length_b 5.790
_cell_length_c 5.930
_cell_angle_alpha 90.00
_cell_angle_beta 90.00
_cell_angle_gamma 90.00
_space_group_name_H-M_alt 'P 4/m m m'
_space_group_IT_number 123
_space_group_name_Hall '-P 4 2'
loop_
_atom_site_label
_atom_site_type_symbol
_atom_site_fract_x
_atom_site_fract_y
_atom_site_fract_z
Ca1 Ca 0.000 0.000 0.000
La1 La 0.000 0.000 0.500
Fe1 Fe 0.500 0.500 0.000
Sn1 Sn 0.000 0.500 0.500
```

---

(3)
VASP calculation (GGA-PBEsol) on a geometry-optimized FeAg2Os structure.

Summary:
E ... -0.481 Ry/atom
DFT formation energy ... 405 meV per atom

The structure in CIF format:
```
data_FeAg2Os
_cell_length_a 2.831
_cell_length_b 4.528
_cell_length_c 9.214
_cell_angle_alpha 90.00
_cell_angle_beta 90.00
_cell_angle_gamma 90.00
_space_group_name_H-M_alt 'C m m 2'
_space_group_IT_number 35
_space_group_name_Hall 'C 2 -2'
loop_
_atom_site_label
_atom_site_type_symbol
_atom_site_fract_x
_atom_site_fract_y
_atom_site_fract_z
Fe1 Fe 0.000 0.000 0.000
Ag1 Ag 0.000 0.000 0.486
Ag2 Ag 0.000 0.500 0.752
Os1 Os 0.000 0.500 0.218
```

---

(4)
VASP calculation (GGA-PBEsol) on a geometry-optimized CaScZn2 structure.

Summary:
E ... -0.229 Ry/atom
DFT formation energy ... -144 meV per atom

The structure in CIF format:
```
data_CaScZn2
_cell_length_a 11.163
_cell_length_b 3.294
_cell_length_c 4.918
_cell_angle_alpha 90.00
_cell_angle_beta 115.73
_cell_angle_gamma 90.00
_space_group_name_H-M_alt 'C 1 m 1'
_space_group_IT_number 8
_space_group_name_Hall 'C -2y'
loop_
_atom_site_label
_atom_site_type_symbol
_atom_site_fract_x
_atom_site_fract_y
_atom_site_fract_z
Ca1 Ca 0.000 0.000 0.000
Sc1 Sc 0.201 0.000 0.699
Zn1 Zn 0.266 0.500 0.262
Zn2 Zn 0.459 0.000 0.460
```

---

(5)
VASP calculation (GGA-PBEsol) on a geometry-optimized TePb2Se structure.

Summary:
E ... -0.313 Ry/atom
Formation energy without anion corrections ... -9.61 kcal/mol of atoms

The structure in CIF format:
```
data_TePb2Se
_cell_length_a 4.442
_cell_length_b 6.273
_cell_length_c 4.448
_cell_angle_alpha 90.00
_cell_angle_beta 90.22
_cell_angle_gamma 90.00
_space_group_name_H-M_alt 'P 1 m 1'
_space_group_IT_number 6
_space_group_name_Hall 'P -2y'
loop_
_atom_site_label
_atom_site_type_symbol
_atom_site_fract_x
_atom_site_fract_y
_atom_site_fract_z
Te1 Te 0.000 0.000 0.000
Pb1 Pb 0.496 0.000 0.505
Pb2 Pb 0.972 0.500 0.034
Se1 Se 0.497 0.500 0.504
```

---

(6)
VASP calculation (GGA-PBEsol) on a geometry-optimized MoRuRh2 structure.

Summary:
E ... -0.710 Ry/atom
DFT formation energy ... -104 meV per atom

The structure in CIF format:
```
data_MoRuRh2
_cell_length_a 3.837
_cell_length_b 3.837
_cell_length_c 7.499
_cell_angle_alpha 90.00
_cell_angle_beta 90.00
_cell_angle_gamma 90.00
_space_group_name_H-M_alt 'I -4 m 2'
_space_group_IT_number 119
_space_group_name_Hall 'I -4 -2'
loop_
_atom_site_label
_atom_site_type_symbol
_atom_site_fract_x
_atom_site_fract_y
_atom_site_fract_z
Mo1 Mo 0.000 0.000 0.000
Ru1 Ru 0.000 0.500 0.750
Rh1 Rh 0.000 0.000 0.500
Rh2 Rh 0.000 0.500 0.250
```